A) The following is a DFT calculation (PBE-GGA) of an optimized crystal structure of Nd2GaHg3.

Unit cell a=4.174 b=4.527 c=17.092 alpha=90.00 beta=90.00 gamma=90.00
Space group Imm2 (No. 44)
One atom of each set of equivalent atoms:
Nd: 0.000 0.000 0.000 [2 per cell]
Nd: 0.000 0.500 0.276 [2 per cell]
Ga: 0.000 0.000 0.435 [2 per cell]
Hg: 0.000 0.000 0.589 [2 per cell]
Hg: 0.000 0.500 0.683 [2 per cell]
Hg: 0.000 0.500 0.847 [2 per cell]

Properties
total magnetic moment: 0.0 μB/cell
DOS(E_F): 0.8379 states/eV/atom
crystal system: orthorhombic


B) The following is a DFT calculation (PBE-GGA) of an optimized crystal structure of Nd2GaHg3.

Unit cell a=3.677 b=4.883 c=8.424 alpha=90.00 beta=90.00 gamma=90.00
Space group Pmm2 (No. 25)
One atom of each set of equivalent atoms:
Nd: 0.000 0.000 0.000 [1 per cell]
Nd: 0.000 0.500 0.487 [1 per cell]
Ga: 0.500 0.000 0.325 [1 per cell]
Hg: 0.500 0.000 0.650 [1 per cell]
Hg: 0.500 0.500 0.167 [1 per cell]
Hg: 0.500 0.500 0.826 [1 per cell]

Properties
total magnetic moment: 0.0 μB/cell
DOS(E_F): 0.7821 states/eV/atom
crystal system: orthorhombic


So which one wins? Going from most stable to least: B), A).


A) The following is a DFT calculation (PBE-GGA) of an optimized crystal structure of Nd6Ga2Hg.

Unit cell a=6.602 b=8.501 c=11.248 alpha=90.00 beta=119.51 gamma=90.00
Space group P2_1/c (No. 14)
One atom of each set of equivalent atoms:
Nd: 0.062 0.054 0.219 [4 per cell]
Nd: 0.174 0.699 0.070 [4 per cell]
Nd: 0.415 0.151 0.061 [4 per cell]
Ga: 0.312 0.124 0.742 [4 per cell]
Hg: 0.500 0.000 0.500 [2 per cell]

Properties
total magnetic moment: 0.0 μB/cell
DOS(E_F): 1.0708 states/eV/atom
crystal system: monoclinic


B) The following is a DFT calculation (PBE-GGA) of an optimized crystal structure of Nd6Ga2Hg.

Unit cell a=10.041 b=10.054 c=10.728 alpha=90.00 beta=90.00 gamma=90.00
Space group Immm (No. 71)
One atom of each set of equivalent atoms:
Nd: 0.000 0.208 0.175 [8 per cell]
Nd: 0.179 0.225 0.500 [8 per cell]
Nd: 0.201 0.500 0.254 [8 per cell]
Ga: 0.000 0.000 0.379 [4 per cell]
Ga: 0.141 0.000 0.000 [4 per cell]
Hg: 0.000 0.500 0.000 [2 per cell]
Hg: 0.000 0.500 0.500 [2 per cell]

Properties
total magnetic moment: 0.0 μB/cell
DOS(E_F): 1.0791 states/eV/atom
crystal system: orthorhombic


So which one wins? Going from most stable to least: B), A).